1.
NaYZnPb, relaxed, DFT PBE; mass density = 6.32 g/cm3; energy relative to the elements = -0.2332 eV/atom
1.0
7.392 0.000 0.000
0.000 7.392 0.000
0.000 0.000 7.392
Na Y Zn Pb
4 4 4 4
Direct
0.000 0.000 0.000 Na
0.000 0.500 0.500 Na
0.500 0.000 0.500 Na
0.500 0.500 0.000 Na
0.000 0.000 0.500 Y
0.000 0.500 0.000 Y
0.500 0.000 0.000 Y
0.500 0.500 0.500 Y
0.250 0.250 0.750 Zn
0.250 0.750 0.250 Zn
0.750 0.250 0.250 Zn
0.750 0.750 0.750 Zn
0.250 0.250 0.250 Pb
0.250 0.750 0.750 Pb
0.750 0.250 0.750 Pb
0.750 0.750 0.250 Pb

---

2.
Na2Zn2Pb, relaxed, DFT PBE; mass density = 5.15 g/cm3; energy relative to the elements = 0.1376 eV/atom; excess energy over the best structure of this formula in the dataset = 134 meV per atom
1.0
8.680 0.000 0.000
0.000 8.680 0.000
0.000 0.000 3.284
Na Zn Pb
4 4 2
Direct
0.134 0.366 0.000 Na
0.366 0.866 0.000 Na
0.634 0.134 0.000 Na
0.866 0.634 0.000 Na
0.162 0.662 0.500 Zn
0.338 0.162 0.500 Zn
0.662 0.838 0.500 Zn
0.838 0.338 0.500 Zn
0.000 0.000 0.000 Pb
0.500 0.500 0.000 Pb

---

3.
NaZn3Pb3, relaxed, DFT PBE; mass density = 5.93 g/cm3; energy relative to the elements = 0.2881 eV/atom
1.0
7.780 0.000 0.000
0.000 7.780 0.000
0.000 0.000 7.780
Na Zn Pb
2 6 6
Direct
0.000 0.000 0.000 Na
0.500 0.500 0.500 Na
0.000 0.250 0.500 Zn
0.000 0.750 0.500 Zn
0.250 0.500 0.000 Zn
0.500 0.000 0.250 Zn
0.500 0.000 0.750 Zn
0.750 0.500 0.000 Zn
0.000 0.500 0.250 Pb
0.000 0.500 0.750 Pb
0.250 0.000 0.500 Pb
0.500 0.250 0.000 Pb
0.500 0.750 0.000 Pb
0.750 0.000 0.500 Pb

---

4.
NaZn2Pb2, relaxed, DFT PBE; mass density = 7.37 g/cm3; energy relative to the elements = 0.0891 eV/atom; excess energy over the best structure of this formula in the dataset = 72 meV per atom
1.0
8.629 0.000 0.000
0.000 8.629 0.000
0.000 0.000 3.440
Na Zn Pb
2 4 4
Direct
0.000 0.000 0.000 Na
0.500 0.500 0.000 Na
0.149 0.351 0.500 Zn
0.351 0.851 0.500 Zn
0.649 0.149 0.500 Zn
0.851 0.649 0.500 Zn
0.146 0.646 0.000 Pb
0.354 0.146 0.000 Pb
0.646 0.854 0.000 Pb
0.854 0.354 0.000 Pb

---

5.
NaZnPb3, relaxed, DFT PBE; mass density = 7.05 g/cm3; energy relative to the elements = 0.1651 eV/atom; excess energy over the best structure of this formula in the dataset = 0 meV per atom
1.0
5.511 0.000 0.000
0.000 5.511 0.000
0.000 0.000 5.511
Na Zn Pb
1 1 3
Direct
0.000 0.000 0.000 Na
0.500 0.500 0.500 Zn
0.000 0.500 0.500 Pb
0.500 0.000 0.500 Pb
0.500 0.500 0.000 Pb

---

6.
Na3ZnPb12, relaxed, DFT PBE; mass density = 9.23 g/cm3; energy relative to the elements = -0.0515 eV/atom
1.0
4.837 0.000 0.000
0.000 4.837 0.000
0.000 0.000 20.145
Na Zn Pb
3 1 12
Direct
0.000 0.000 0.000 Na
0.000 0.000 0.251 Na
0.000 0.000 0.749 Na
0.000 0.000 0.500 Zn
0.000 0.500 0.126 Pb
0.000 0.500 0.379 Pb
0.000 0.500 0.621 Pb
0.000 0.500 0.874 Pb
0.500 0.000 0.126 Pb
0.500 0.000 0.379 Pb
0.500 0.000 0.621 Pb
0.500 0.000 0.874 Pb
0.500 0.500 0.000 Pb
0.500 0.500 0.251 Pb
0.500 0.500 0.500 Pb
0.500 0.500 0.749 Pb

---

7.
Na4ZnPb, relaxed, DFT PBE; mass density = 3.44 g/cm3; energy relative to the elements = -0.0465 eV/atom
1.0
2.766 -6.729 0.000
2.766 6.729 0.000
0.000 0.000 9.452
Na Zn Pb
8 2 2
Direct
0.036 0.964 0.500 Na
0.202 0.798 0.199 Na
0.304 0.696 0.514 Na
0.463 0.537 0.234 Na
0.537 0.463 0.734 Na
0.696 0.304 0.014 Na
0.798 0.202 0.699 Na
0.964 0.036 0.000 Na
0.351 0.649 0.929 Zn
0.649 0.351 0.429 Zn
0.165 0.835 0.809 Pb
0.835 0.165 0.309 Pb

---

8.
Na12ZnPb3, relaxed, DFT PBE; mass density = 3.36 g/cm3; energy relative to the elements = -0.0485 eV/atom
1.0
4.908 0.000 0.000
0.000 4.908 0.000
0.000 0.000 19.741
Na Zn Pb
12 1 3
Direct
0.000 0.000 0.000 Na
0.000 0.000 0.245 Na
0.000 0.000 0.500 Na
0.000 0.000 0.755 Na
0.000 0.500 0.121 Na
0.000 0.500 0.373 Na
0.000 0.500 0.627 Na
0.000 0.500 0.879 Na
0.500 0.000 0.121 Na
0.500 0.000 0.373 Na
0.500 0.000 0.627 Na
0.500 0.000 0.879 Na
0.500 0.500 0.000 Zn
0.500 0.500 0.244 Pb
0.500 0.500 0.500 Pb
0.500 0.500 0.756 Pb

---

9.
NaZnPb, relaxed, DFT PBE; mass density = 6.19 g/cm3; energy relative to the elements = 0.0022 eV/atom; excess energy over the best structure of this formula in the dataset = 41 meV per atom
1.0
6.819 0.000 0.000
0.000 6.819 0.000
0.000 0.000 6.819
Na Zn Pb
4 4 4
Direct
0.000 0.000 0.000 Na
0.000 0.500 0.500 Na
0.500 0.000 0.500 Na
0.500 0.500 0.000 Na
0.250 0.250 0.750 Zn
0.250 0.750 0.250 Zn
0.750 0.250 0.250 Zn
0.750 0.750 0.750 Zn
0.000 0.000 0.500 Pb
0.000 0.500 0.000 Pb
0.500 0.000 0.000 Pb
0.500 0.500 0.500 Pb

---

10.
NaZnPb, relaxed, DFT PBE; mass density = 6.10 g/cm3; energy relative to the elements = -0.0298 eV/atom; excess energy over the best structure of this formula in the dataset = 9 meV per atom
1.0
12.847 0.000 0.000
0.000 4.442 0.000
-0.669 0.000 5.638
Na Zn Pb
4 4 4
Direct
0.124 0.000 0.341 Na
0.376 0.500 0.659 Na
0.624 0.500 0.341 Na
0.876 0.000 0.659 Na
0.224 0.000 0.881 Zn
0.276 0.500 0.119 Zn
0.724 0.500 0.881 Zn
0.776 0.000 0.119 Zn
0.082 0.500 0.793 Pb
0.418 0.000 0.207 Pb
0.582 0.000 0.793 Pb
0.918 0.500 0.207 Pb

---

11.
NaZnPb, relaxed, DFT PBE; mass density = 6.38 g/cm3; energy relative to the elements = -0.0387 eV/atom; excess energy over the best structure of this formula in the dataset = 0 meV per atom
1.0
4.870 0.000 0.000
-2.435 4.217 0.000
0.000 0.000 3.746
Na Zn Pb
1 1 1
Direct
0.000 0.000 0.000 Na
0.333 0.667 0.498 Zn
0.667 0.333 0.500 Pb

---

12.
Na2Zn2Pb, relaxed, DFT PBE; mass density = 4.95 g/cm3; energy relative to the elements = 0.0113 eV/atom; excess energy over the best structure of this formula in the dataset = 8 meV per atom
1.0
3.561 0.000 0.000
0.000 3.561 0.000
0.000 0.000 20.326
Na Zn Pb
4 4 2
Direct
0.000 0.000 0.114 Na
0.000 0.000 0.886 Na
0.500 0.500 0.386 Na
0.500 0.500 0.614 Na
0.000 0.500 0.250 Zn
0.000 0.500 0.750 Zn
0.500 0.000 0.250 Zn
0.500 0.000 0.750 Zn
0.000 0.000 0.500 Pb
0.500 0.500 0.000 Pb